Entry 1:
Entry from the Open Quantum Materials Database: Gd2Zn2Pt after structural relaxation (PBE-GGA).

## Properties
uncorrected energy: -4.07 eV/atom
DFT formation energy: -0.49 eV per atom

```
data_Gd2Zn2Pt
_chemical_formula_sum 'Gd2 Zn2 Pt1'
_symmetry_space_group_name_H-M 'P -3 m 1'
_symmetry_Int_Tables_number 164
_symmetry_space_group_name_Hall '-P 3 2"'
_cell_length_a 4.1138
_cell_length_b 4.1138
_cell_length_c 8.4317
_cell_angle_alpha 90.00
_cell_angle_beta 90.00
_cell_angle_gamma 120.00
loop_
_atom_site_label
_atom_site_fract_x
_atom_site_fract_y
_atom_site_fract_z
_atom_site_occupancy
Gd1 0.3333 0.6667 0.1851 1
Zn1 0.3333 0.6667 0.5618 1
Pt1 0.0000 0.0000 0.0000 1
```

---

Entry 2:
Entry from the Open Quantum Materials Database: Sr2In3SnPt2 after structural relaxation (PBE-GGA).

## Properties
uncorrected energy: -4.15 eV/atom

```
data_Sr2In3SnPt2
_chemical_formula_sum 'Sr4 In6 Sn2 Pt4'
_symmetry_space_group_name_H-M 'C 1 m 1'
_symmetry_Int_Tables_number 8
_cell_length_a 11.1580
_cell_length_b 4.5212
_cell_length_c 7.8591
_cell_angle_alpha 90.00
_cell_angle_beta 90.38
_cell_angle_gamma 90.00
loop_
_symmetry_equiv_pos_as_xyz
'x,y,z'
'x,-y,z'
'x+1/2,y+1/2,z'
'x+1/2,-y+1/2,z'
loop_
_atom_site_label
_atom_site_fract_x
_atom_site_fract_y
_atom_site_fract_z
_atom_site_occupancy
Sr1 0.0000 0.0000 0.0000 1
Sr2 0.1304 0.0000 0.4987 1
In1 0.2130 0.5000 0.1962 1
In2 0.4156 0.0000 0.2996 1
In3 0.4201 0.0000 0.6949 1
Sn1 0.2140 0.5000 0.8013 1
Pt1 0.2811 0.0000 0.9932 1
Pt2 0.3481 0.5000 0.5016 1
```

---

Entry 3:
Entry from the Open Quantum Materials Database: HoB4Pt after structural relaxation (PBE-GGA).

## Properties
uncorrected energy: -6.40 eV/atom
energy above the most stable polymorph in this dataset: 2.4 kJ/mol of atoms

```
data_HoB4Pt
_chemical_formula_sum 'Ho1 B4 Pt1'
_symmetry_space_group_name_H-M 'P 6/m m m'
_symmetry_Int_Tables_number 191
_symmetry_space_group_name_Hall '-P 6 2'
_cell_length_a 3.2451
_cell_length_b 3.2451
_cell_length_c 6.8199
_cell_angle_alpha 90.00
_cell_angle_beta 90.00
_cell_angle_gamma 120.00
loop_
_atom_site_label
_atom_site_fract_x
_atom_site_fract_y
_atom_site_fract_z
_atom_site_occupancy
Ho1 0.0000 0.0000 0.0000 1
B1 0.3333 0.6667 0.2694 1
Pt1 0.0000 0.0000 0.5000 1
```